Density functional theory data (PBE) for a relaxed structure of CaAlW2.

Cell: 3.449 3.451 6.738 Å, 90.00 90.00 90.00°
Sites, in units of the cell vectors:
Ca1 0.500 0.500 0.750
Al1 0.500 0.500 0.250
W1 0.000 0.000 0.076
W2 0.000 0.000 0.424

Energy of formation from the pure elements in eV per atom: 0.54
Crystal system: tetragonal
VASP energy in eV/cell: -29.5
Symmetry: No. 123

Density functional theory data (PBE) for a relaxed structure of CaAl2W.

Cell: 5.907 5.907 5.907 Å, 151.49 129.59 58.93°
Sites, in units of the cell vectors:
Ca1 0.498 0.498 0.000
Al1 0.005 0.005 0.000
Al2 0.775 0.275 0.500
W1 0.222 0.722 0.500

Energy of formation from the pure elements in eV per atom: 0.31
Crystal system: orthorhombic
VASP energy in eV/cell: -21.2
ΔE to the lowest computed polymorph in kJ per mole of atoms: 28.1
Symmetry: No. 44

Density functional theory data (PBE) for a relaxed structure of CaAlW2.

Cell: 3.949 2.882 7.313 Å, 71.89 90.00 90.00°
Sites, in units of the cell vectors:
Ca1 0.500 0.795 0.748
Al1 0.000 0.527 0.446
W1 0.000 0.011 0.056
W2 0.500 0.168 0.250

Energy of formation from the pure elements in eV per atom: 0.34
Crystal system: monoclinic
VASP energy in eV/cell: -30.3
Symmetry: No. 6

Density functional theory data (PBE) for a relaxed structure of CaAlW2.

Cell: 5.451 5.451 5.451 Å, 137.34 137.34 61.92°
Sites, in units of the cell vectors:
Ca1 0.750 0.250 0.500
Al1 0.250 0.750 0.500
W1 0.000 0.000 0.000
W2 0.500 0.500 0.000

Energy of formation from the pure elements in eV per atom: 0.66
Crystal system: tetragonal
VASP energy in eV/cell: -29.0
Symmetry: No. 139

Density functional theory data (PBE) for a relaxed structure of CaAlW.

Cell: 3.019 3.019 7.467 Å, 90.00 90.00 120.00°
Sites, in units of the cell vectors:
Ca1 0.667 0.333 0.339
Al1 0.000 0.000 0.975
W1 0.333 0.667 0.686

Energy of formation from the pure elements in eV per atom: 0.53
Crystal system: trigonal
VASP energy in eV/cell: -17.1
ΔE to the lowest computed polymorph in kJ per mole of atoms: 19.2
Symmetry: No. 156

Density functional theory data (PBE) for a relaxed structure of CaAlW2.

Cell: 5.415 5.415 5.194 Å, 75.91 75.91 29.70°
Sites, in units of the cell vectors:
Ca1 0.250 0.250 0.250
Al1 0.750 0.750 0.750
W1 0.023 0.023 0.979
W2 0.477 0.477 0.521

Energy of formation from the pure elements in eV per atom: 0.53
Crystal system: monoclinic
VASP energy in eV/cell: -29.5
Symmetry: No. 12

Density functional theory data (PBE) for a relaxed structure of CaAlW.

Cell: 5.881 5.881 5.881 Å, 151.13 140.68 49.51°
Sites, in units of the cell vectors:
Ca1 0.331 0.331 0.000
Al1 0.036 0.036 0.000
W1 0.633 0.633 0.000

Energy of formation from the pure elements in eV per atom: 0.42
Crystal system: orthorhombic
VASP energy in eV/cell: -17.4
ΔE to the lowest computed polymorph in kJ per mole of atoms: 8.0
Symmetry: No. 44

Density functional theory data (PBE) for a relaxed structure of CaAl2W.

Cell: 9.839 9.839 9.839 Å, 17.57 17.57 17.57°
Sites, in units of the cell vectors:
Ca1 0.498 0.498 0.498
Al1 0.002 0.002 0.002
Al2 0.258 0.258 0.258
W1 0.742 0.742 0.742

Energy of formation from the pure elements in eV per atom: 0.39
Crystal system: trigonal
VASP energy in eV/cell: -20.9
ΔE to the lowest computed polymorph in kJ per mole of atoms: 35.5
Symmetry: No. 160

Density functional theory data (PBE) for a relaxed structure of CaAlW2.

Cell: 4.488 4.488 10.092 Å, 77.15 77.15 90.00°
Sites, in units of the cell vectors:
Ca1 0.000 0.000 0.000
Ca2 0.750 0.250 0.500
Al1 0.500 0.500 0.000
Al2 0.250 0.750 0.500
W1 0.281 0.125 0.250
W2 0.469 0.625 0.250
W3 0.375 0.719 0.750
W4 0.875 0.531 0.750

Energy of formation from the pure elements in eV per atom: 1.08
Crystal system: tetragonal
VASP energy in eV/cell: -54.7
Symmetry: No. 122

Density functional theory data (PBE) for a relaxed structure of CaAl4W.

Cell: 5.272 5.272 5.272 Å, 60.00 60.00 60.00°
Sites, in units of the cell vectors:
Ca1 0.750 0.750 0.750
Al1 0.876 0.375 0.375
Al2 0.375 0.375 0.876
Al3 0.375 0.876 0.375
Al4 0.375 0.375 0.375
W1 0.000 0.000 0.000

Energy of formation from the pure elements in eV per atom: -0.01
Crystal system: cubic
VASP energy in eV/cell: -30.0
Symmetry: No. 216

Density functional theory data (PBE) for a relaxed structure of CaAlW2.

Cell: 5.341 5.341 5.341 Å, 141.20 125.65 68.77°
Sites, in units of the cell vectors:
Ca1 0.240 0.740 0.500
Al1 0.514 0.514 0.000
W1 0.974 0.974 0.000
W2 0.772 0.272 0.500

Energy of formation from the pure elements in eV per atom: 0.59
Crystal system: orthorhombic
VASP energy in eV/cell: -29.3
Symmetry: No. 44

Density functional theory data (PBE) for a relaxed structure of CaAlW2.

Cell: 4.676 3.954 3.954 Å, 90.00 90.00 90.00°
Sites, in units of the cell vectors:
Ca1 0.500 0.000 0.500
Al1 0.500 0.500 0.000
W1 0.000 0.000 0.000
W2 0.000 0.500 0.500

Energy of formation from the pure elements in eV per atom: 0.65
Crystal system: tetragonal
VASP energy in eV/cell: -29.1
Symmetry: No. 123

- energy of formation from the pure elements of number 8 (CaAl2W)?
  0.39 eV per atom